Entry from the Alexandria database: an optimized crystal structure of Ta2NiRu (PBE).

Properties
crystal system = cubic
ΔH_f (0 K) = -65.8 meV per atom
total magnetic moment = 0.00 μB per cell

Lattice parameters (Å, degrees): 4.414 4.414 4.414 60.00 60.00 60.00
Atoms (fractional coordinates):
Ta (0.000, 0.000, 0.000)
Ta (0.250, 0.250, 0.250)
Ni (0.750, 0.750, 0.750)
Ru (0.500, 0.500, 0.500)

Entry from the Alexandria database: an optimized crystal structure of TaNiRu2 (PBE).

Properties
crystal system = tetragonal
ΔH_f (0 K) = -13.9 meV per atom
total magnetic moment = 0.00 μB per cell

Lattice parameters (Å, degrees): 2.749 2.749 7.569 90.00 90.00 90.00
Atoms (fractional coordinates):
Ta (0.000, 0.000, 0.000)
Ni (0.500, 0.500, 0.246)
Ru (0.000, 0.000, 0.486)
Ru (0.500, 0.500, 0.718)

Entry from the Alexandria database: an optimized crystal structure of Ta4NiRu (PBE).

Properties
crystal system = cubic
ΔH_f (0 K) = 505.5 meV per atom
total magnetic moment = 0.00 μB per cell

Lattice parameters (Å, degrees): 5.301 5.301 5.301 60.00 60.00 60.00
Atoms (fractional coordinates):
Ta (0.376, 0.376, 0.376)
Ta (0.376, 0.376, 0.873)
Ta (0.376, 0.873, 0.376)
Ta (0.873, 0.376, 0.376)
Ni (0.000, 0.000, 0.000)
Ru (0.750, 0.750, 0.750)

Entry from the Alexandria database: an optimized crystal structure of TaNiRu2 (PBE).

Properties
crystal system = monoclinic
ΔH_f (0 K) = -91.7 meV per atom
total magnetic moment = 0.00 μB per cell

Lattice parameters (Å, degrees): 4.585 4.585 4.711 101.48 101.48 36.38
Atoms (fractional coordinates):
Ta (0.000, 0.000, 0.000)
Ni (0.500, 0.500, 0.500)
Ru (0.248, 0.248, 0.730)
Ru (0.752, 0.752, 0.270)

Entry from the Alexandria database: an optimized crystal structure of TaNiRu2 (PBE).

Properties
crystal system = trigonal
ΔH_f (0 K) = 139.8 meV per atom
total magnetic moment = 0.00 μB per cell

Lattice parameters (Å, degrees): 8.985 8.985 8.985 17.59 17.59 17.59
Atoms (fractional coordinates):
Ta (0.000, 0.000, 0.000)
Ni (0.750, 0.750, 0.750)
Ru (0.243, 0.243, 0.243)
Ru (0.496, 0.496, 0.496)

Entry from the Alexandria database: an optimized crystal structure of Ta2NiRu (PBE).

Properties
crystal system = trigonal
ΔH_f (0 K) = 146.9 meV per atom
total magnetic moment = 0.17 μB per cell

Lattice parameters (Å, degrees): 8.442 8.442 8.442 20.52 20.52 20.52
Atoms (fractional coordinates):
Ta (0.000, 0.000, 0.000)
Ta (0.239, 0.239, 0.239)
Ni (0.742, 0.742, 0.742)
Ru (0.493, 0.493, 0.493)